DFT (PBE-GGA) results for crystalline La3In3Ga at its relaxed geometry.

Cell and atoms, written as POSCAR:
```
La3In3Ga
1.0
5.999 -2.315 0.000
5.999 2.315 0.000
-4.864 0.000 15.059
La In Ga
6 6 2
Direct
0.011 0.011 0.385
0.112 0.112 0.924
0.232 0.232 0.234
0.768 0.768 0.766
0.888 0.888 0.076
0.989 0.989 0.615
0.339 0.339 0.460
0.393 0.393 0.921
0.491 0.491 0.769
0.509 0.509 0.231
0.607 0.607 0.079
0.661 0.661 0.540
0.281 0.281 0.625
0.719 0.719 0.375
```

For the density of states at the Fermi level, the calculation gives 0.90 states/eV per atom.

=====

DFT (PBE-GGA) results for crystalline La4InGa at its relaxed geometry.

Cell and atoms, written as POSCAR:
```
La4InGa
1.0
5.805 -1.877 0.000
5.805 1.877 0.000
-3.522 0.000 8.346
La In Ga
4 1 1
Direct
0.146 0.146 0.336
0.152 0.152 0.813
0.848 0.848 0.187
0.854 0.854 0.664
0.500 0.500 0.000
0.500 0.500 0.500
```

For the density of states at the Fermi level, the calculation gives 1.21 states/eV per atom. The energy relative to the lowest polymorph listed for this composition comes out at 0.000 eV per atom.

=====

DFT (PBE-GGA) results for crystalline La8In2Ga at its relaxed geometry.

Cell and atoms, written as POSCAR:
```
La8In2Ga
1.0
-2.767 3.707 8.727
2.767 -3.707 8.727
2.767 3.707 -8.727
La In Ga
8 2 1
Direct
0.127 0.362 0.765
0.198 0.198 0.000
0.256 0.000 0.256
0.403 0.638 0.765
0.597 0.362 0.235
0.744 0.000 0.744
0.802 0.802 0.000
0.873 0.638 0.235
0.315 0.815 0.500
0.685 0.185 0.500
0.000 0.500 0.500
```

For the density of states at the Fermi level, the calculation gives 1.46 states/eV per atom.

=====

DFT (PBE-GGA) results for crystalline La4InGa2 at its relaxed geometry.

Cell and atoms, written as POSCAR:
```
La4InGa2
1.0
2.668 1.540 8.626
-2.668 1.540 8.626
0.000 -3.081 8.626
La In Ga
4 1 2
Direct
0.116 0.116 0.116
0.368 0.368 0.368
0.632 0.632 0.632
0.884 0.884 0.884
0.500 0.500 0.500
0.247 0.247 0.247
0.753 0.753 0.753
```

For the density of states at the Fermi level, the calculation gives 1.15 states/eV per atom. The energy relative to the lowest polymorph listed for this composition comes out at 0.000 eV per atom.

=====

DFT (PBE-GGA) results for crystalline LaInGa at its relaxed geometry.

Cell and atoms, written as POSCAR:
```
LaInGa
1.0
-2.386 4.014 4.103
2.386 -4.014 4.103
2.386 4.014 -4.103
La In Ga
2 2 2
Direct
0.000 0.000 0.000
0.500 0.000 0.500
0.404 0.654 0.750
0.596 0.346 0.250
0.069 0.319 0.750
0.931 0.681 0.250
```

For the density of states at the Fermi level, the calculation gives 0.53 states/eV per atom. The energy relative to the lowest polymorph listed for this composition comes out at 0.027 eV per atom.

=====

DFT (PBE-GGA) results for crystalline La4InGa at its relaxed geometry.

Cell and atoms, written as POSCAR:
```
La4InGa
1.0
5.338 0.000 0.000
0.000 5.338 0.000
0.000 0.000 7.430
La In Ga
4 1 1
Direct
0.000 0.500 0.228
0.000 0.500 0.772
0.500 0.000 0.228
0.500 0.000 0.772
0.000 0.000 0.500
0.500 0.500 0.000
```

For the density of states at the Fermi level, the calculation gives 1.38 states/eV per atom. The energy relative to the lowest polymorph listed for this composition comes out at 0.132 eV per atom.

=====

DFT (PBE-GGA) results for crystalline LaIn2Ga at its relaxed geometry.

Cell and atoms, written as POSCAR:
```
LaIn2Ga
1.0
4.617 0.000 0.000
0.000 4.617 0.000
0.000 0.000 4.834
La In Ga
1 2 1
Direct
0.000 0.000 0.000
0.000 0.500 0.500
0.500 0.000 0.500
0.500 0.500 0.000
```

For the density of states at the Fermi level, the calculation gives 0.50 states/eV per atom.

=====

DFT (PBE-GGA) results for crystalline LaInGa at its relaxed geometry.

Cell and atoms, written as POSCAR:
```
LaInGa
1.0
0.000 5.907 7.792
3.816 0.000 7.792
3.816 5.907 0.000
La In Ga
4 4 4
Direct
0.061 0.061 0.689
0.311 0.311 0.939
0.689 0.689 0.061
0.939 0.939 0.311
0.000 0.500 0.500
0.500 0.000 0.500
0.500 0.500 0.000
0.500 0.500 0.500
0.048 0.702 0.702
0.298 0.952 0.952
0.702 0.048 0.048
0.952 0.298 0.298
```

For the density of states at the Fermi level, the calculation gives 0.96 states/eV per atom. The energy relative to the lowest polymorph listed for this composition comes out at 0.301 eV per atom.

=====

no.,energy relative to the elements (eV per atom),total DFT energy (no corrections) (eV per atom)
1,-0.52,-4.236
2,-0.36,-4.608
3,-0.27,-4.627
4,-0.42,-4.491
5,-0.54,-4.101
6,-0.23,-4.476
7,-0.48,-3.835
8,-0.26,-3.827